# 1
GGA-PBE AlFe3I, relaxed; E = -5.01 eV/atom; energy relative to the elements, uncorrected = 1.130 eV/atom; energy above the most stable polymorph in this dataset = 0 meV per atom
1.0
-1.9456 1.8691 3.6193
3.4619 -1.3551 2.5608
2.1467 3.8792 -0.8494
I Fe Al
1 3 1
direct
0.5000 0.5000 0.5000
0.5000 0.0000 0.0000
0.0000 0.0000 0.5000
0.0000 0.5000 0.0000
0.0000 0.0000 0.0000

# 2
GGA-PBE SrMn2Br, relaxed; E = -4.99 eV/atom; energy relative to the elements, uncorrected = 0.436 eV/atom; energy above the most stable polymorph in this dataset = 432 meV per atom
1.0
4.7880 0.0000 0.0000
0.0000 4.7880 0.0000
2.3940 2.3940 9.7531
Mn Sr Br
4 2 2
direct
0.3750 0.6575 0.7500
0.8750 0.5925 0.7500
0.4075 0.6250 0.2500
0.3425 0.1250 0.2500
0.0000 0.0000 0.0000
0.7500 0.2500 0.5000
0.5000 0.5000 0.0000
0.2500 0.7500 0.5000

# 3
GGA-PBE KRbNa2I, relaxed; E = -1.60 eV/atom; energy relative to the elements, uncorrected = -0.350 eV/atom; energy above the most stable polymorph in this dataset = 7 meV per atom
1.0
6.3786 0.0000 0.0000
0.0000 6.3786 0.0000
0.0000 0.0000 6.7955
Na I K Rb
2 1 1 1
direct
0.5000 0.0000 0.0000
0.0000 0.5000 0.0000
0.0000 0.0000 0.0000
0.0000 0.0000 0.5000
0.5000 0.5000 0.5000

# 4
GGA-PBE LiMnPt2, relaxed; E = -5.94 eV/atom; DFT formation energy = -0.14 eV/atom; energy above the most stable polymorph in this dataset = 349 meV per atom
1.0
-0.2593 2.6044 -0.9196
-0.1453 -0.9353 -2.6077
-7.9196 -0.5615 0.6426
Pt Mn Li
2 1 1
direct
0.0000 0.0000 0.9940
0.5000 0.5000 0.2592
0.5000 0.5000 0.7664
0.0000 0.0000 0.4804

# 5
GGA-PBE CoAs2W, relaxed; E = -7.12 eV/atom; DFT formation energy = 0.22 eV/atom
1.0
4.2576 0.0000 0.0000
0.0000 4.2576 0.0000
0.0000 0.0000 3.1637
As Co W
2 1 1
direct
0.5000 0.5000 0.0000
0.0000 0.0000 0.0000
0.5000 0.0000 0.5000
0.0000 0.5000 0.5000

# 6
GGA-PBE AlMoP, relaxed; E = -6.58 eV/atom; DFT formation energy = 0.08 eV/atom
1.0
-4.0091 0.3043 -0.0268
-2.2015 -2.6276 -2.1013
-2.4293 -5.0063 4.9586
Al Mo P
2 2 2
direct
0.8143 0.8143 0.5572
0.1857 0.1857 0.4428
0.5846 0.5846 0.2461
0.4154 0.4154 0.7539
0.7023 0.7023 0.8930
0.2977 0.2977 0.1070